1.
Below is an optimized crystal structure of Tc2SbPt, with properties calculated at the PBE level.

CIF file:
```
data_Tc2SbPt
_chemical_formula_sum 'Tc4 Sb2 Pt2'
_cell_length_a 6.411
_cell_length_b 6.420
_cell_length_c 3.146
_cell_angle_alpha 90.00
_cell_angle_beta 90.00
_cell_angle_gamma 90.00
_symmetry_space_group_name_H-M 'C m m m'
_symmetry_Int_Tables_number 65
_symmetry_space_group_name_Hall '-C 2 2'
loop_
_atom_site_label
_atom_site_type_symbol
_atom_site_fract_x
_atom_site_fract_y
_atom_site_fract_z
Tc1 Tc 0.250 0.250 0.000
Sb1 Sb 0.000 0.000 0.500
Pt1 Pt 0.000 0.500 0.500
```

Summary:
Crystal system   orthorhombic
E_form (uncorrected)   0.107 eV/atom
DOS at the Fermi energy   0.851 states/eV/atom


2.
Below is an optimized crystal structure of GdMnHg2, with properties calculated at the PBE level.

CIF file:
```
data_GdMnHg2
_chemical_formula_sum 'Gd4 Mn4 Hg8'
_cell_length_a 7.127
_cell_length_b 7.127
_cell_length_c 7.127
_cell_angle_alpha 90.00
_cell_angle_beta 90.00
_cell_angle_gamma 90.00
_symmetry_space_group_name_H-M 'F m -3 m'
_symmetry_Int_Tables_number 225
_symmetry_space_group_name_Hall '-F 4 2 3'
loop_
_atom_site_label
_atom_site_type_symbol
_atom_site_fract_x
_atom_site_fract_y
_atom_site_fract_z
Gd1 Gd 0.000 0.000 0.000
Mn1 Mn 0.000 0.000 0.500
Hg1 Hg 0.250 0.250 0.250
```

Summary:
Crystal system   cubic
Calculated formation energy   -122 meV per atom
DOS at the Fermi energy   0.396 states/eV/atom


3.
Below is an optimized crystal structure of LiNdMgGe2, with properties calculated at the PBE level.

CIF file:
```
data_LiNdMgGe2
_chemical_formula_sum 'Li2 Nd2 Mg2 Ge4'
_cell_length_a 4.251
_cell_length_b 4.251
_cell_length_c 11.605
_cell_angle_alpha 90.00
_cell_angle_beta 90.00
_cell_angle_gamma 90.00
_symmetry_space_group_name_H-M 'I -4 m 2'
_symmetry_Int_Tables_number 119
_symmetry_space_group_name_Hall 'I -4 -2'
loop_
_atom_site_label
_atom_site_type_symbol
_atom_site_fract_x
_atom_site_fract_y
_atom_site_fract_z
Li1 Li 0.000 0.000 0.000
Nd1 Nd 0.000 0.500 0.250
Mg1 Mg 0.000 0.000 0.500
Ge1 Ge 0.000 0.500 0.642
```

Summary:
Crystal system   tetragonal
Calculated formation energy   -545 meV per atom
DOS at the Fermi energy   0.650 states/eV/atom


4.
Below is an optimized crystal structure of In2HgAuBr, with properties calculated at the PBE level.

CIF file:
```
data_In2HgAuBr
_chemical_formula_sum 'In2 Hg1 Au1 Br1'
_cell_length_a 5.413
_cell_length_b 5.413
_cell_length_c 5.378
_cell_angle_alpha 90.00
_cell_angle_beta 90.00
_cell_angle_gamma 90.00
_symmetry_space_group_name_H-M 'P 4/m m m'
_symmetry_Int_Tables_number 123
_symmetry_space_group_name_Hall '-P 4 2'
loop_
_atom_site_label
_atom_site_type_symbol
_atom_site_fract_x
_atom_site_fract_y
_atom_site_fract_z
In1 In 0.000 0.500 0.000
Hg1 Hg 0.000 0.000 0.500
Au1 Au 0.000 0.000 0.000
Br1 Br 0.500 0.500 0.500
```

Summary:
Crystal system   tetragonal
E_form (uncorrected)   -0.236 eV/atom
DOS at the Fermi energy   0.302 states/eV/atom


5.
Below is an optimized crystal structure of TbPuFe4, with properties calculated at the PBE level.

CIF file:
```
data_TbPuFe4
_chemical_formula_sum 'Tb4 Pu4 Fe16'
_cell_length_a 7.192
_cell_length_b 7.192
_cell_length_c 7.192
_cell_angle_alpha 90.00
_cell_angle_beta 90.00
_cell_angle_gamma 90.00
_symmetry_space_group_name_H-M 'F -4 3 m'
_symmetry_Int_Tables_number 216
_symmetry_space_group_name_Hall 'F -4 2 3'
loop_
_atom_site_label
_atom_site_type_symbol
_atom_site_fract_x
_atom_site_fract_y
_atom_site_fract_z
Tb1 Tb 0.000 0.000 0.000
Pu1 Pu 0.250 0.250 0.250
Fe1 Fe 0.124 0.124 0.624
```

Summary:
Crystal system   cubic
Calculated formation energy   116 meV per atom
DOS at the Fermi energy   2.944 states/eV/atom


6.
Below is an optimized crystal structure of TaMo5, with properties calculated at the PBE level.

CIF file:
```
data_TaMo5
_chemical_formula_sum 'Ta1 Mo5'
_cell_length_a 2.775
_cell_length_b 5.274
_cell_length_c 6.915
_cell_angle_alpha 78.21
_cell_angle_beta 82.48
_cell_angle_gamma 80.04
_symmetry_space_group_name_H-M 'P -1'
_symmetry_Int_Tables_number 2
loop_
_symmetry_equiv_pos_as_xyz
'x,y,z'
'-x,-y,-z'
loop_
_atom_site_label
_atom_site_type_symbol
_atom_site_fract_x
_atom_site_fract_y
_atom_site_fract_z
Ta1 Ta 0.000 0.000 0.000
Mo1 Mo 0.169 0.167 0.336
Mo2 Mo 0.338 0.335 0.664
Mo3 Mo 0.500 0.500 0.000
```

Summary:
Crystal system   triclinic
Calculated formation energy   -80 meV per atom
DOS at the Fermi energy   0.559 states/eV/atom


> What is the formula in the second record?

GdMnHg2